No. 1
DFT (PBE-GGA) results for a relaxed Sm2Be3Pt12Rh crystal.

Unit cell a=7.6483 b=7.6483 c=7.6483 alpha=62.36 beta=62.36 gamma=62.36
Fractional coordinates of all 18 atoms:
Sm1 0.1085 0.1085 0.1085
Sm2 0.8915 0.8915 0.8915
Be1 0.0000 0.5000 0.5000
Be2 0.5000 0.0000 0.5000
Be3 0.5000 0.5000 0.0000
Pt1 0.1074 0.6316 0.6316
Pt2 0.1465 0.1465 0.6049
Pt3 0.1465 0.6049 0.1465
Pt4 0.3684 0.3684 0.8926
Pt5 0.3684 0.8926 0.3684
Pt6 0.3951 0.8535 0.8535
Pt7 0.6049 0.1465 0.1465
Pt8 0.6316 0.1074 0.6316
Pt9 0.6316 0.6316 0.1074
Pt10 0.8535 0.3951 0.8535
Pt11 0.8535 0.8535 0.3951
Pt12 0.8926 0.3684 0.3684
Rh1 0.5000 0.5000 0.5000

Output
* D(E_F): 12.92 states/eV/f.u.
* E_form: -299 meV per atom

No. 2
DFT (PBE-GGA) results for a relaxed Nd4Ru2Br5 crystal.

Unit cell a=10.6988 b=10.6988 c=10.6988 alpha=157.40 beta=133.94 gamma=51.89
Fractional coordinates of all 11 atoms:
Nd1 0.1860 0.1860 0.0000
Nd2 0.2170 0.5000 0.7170
Nd3 0.7830 0.5000 0.2830
Nd4 0.8140 0.8140 0.0000
Ru1 0.0621 0.0621 0.0000
Ru2 0.9379 0.9379 0.0000
Br1 0.0998 0.3277 0.7721
Br2 0.4445 0.6723 0.7721
Br3 0.5000 0.0000 0.5000
Br4 0.5555 0.3277 0.2279
Br5 0.9002 0.6723 0.2279

Output
* D(E_F): 4.77 states/eV/f.u.
* E_form (uncorrected): -0.960 eV per atom

No. 3
DFT (PBE-GGA) results for a relaxed AcPuRuRh crystal.

Unit cell a=5.0254 b=5.0254 c=5.0254 alpha=60.00 beta=60.00 gamma=60.00
Fractional coordinates of all 4 atoms:
Ac1 0.0000 0.0000 0.0000
Pu1 0.5000 0.5000 0.5000
Ru1 0.2500 0.2500 0.2500
Rh1 0.7500 0.7500 0.7500

Output
* D(E_F): 9.69 states/eV/f.u.
* E_form: -141 meV per atom

- Number 3 is which compound?
  AcPuRuRh

Repeat the second record exactly.
DFT (PBE-GGA) results for a relaxed Nd4Ru2Br5 crystal.

Unit cell a=10.6988 b=10.6988 c=10.6988 alpha=157.40 beta=133.94 gamma=51.89
Fractional coordinates of all 11 atoms:
Nd1 0.1860 0.1860 0.0000
Nd2 0.2170 0.5000 0.7170
Nd3 0.7830 0.5000 0.2830
Nd4 0.8140 0.8140 0.0000
Ru1 0.0621 0.0621 0.0000
Ru2 0.9379 0.9379 0.0000
Br1 0.0998 0.3277 0.7721
Br2 0.4445 0.6723 0.7721
Br3 0.5000 0.0000 0.5000
Br4 0.5555 0.3277 0.2279
Br5 0.9002 0.6723 0.2279

Output
* D(E_F): 4.77 states/eV/f.u.
* E_form (uncorrected): -0.960 eV per atom